P) The following is a PBE calculation of a relaxed ZrCS2N crystal, from Alexandria.

Output
For the magnetization, the calculation gives 0.00 μB/cell. Its volume is 12.38 A^3/atom. Its density of states at the Fermi level is 2.23 states/eV/f.u. The theoretical density is 4.9 g/cm3.

a b c (Å): 4.041 4.041 3.791
angles (deg): 90.00 90.00 90.00
Fractional positions:
S 0.000 0.500 0.000
S 0.500 0.000 0.000
C 0.000 0.000 0.000
Zr 0.500 0.500 0.500
N 0.000 0.000 0.500

Q) The following is a PBE calculation of a relaxed ZrCS2N crystal, from Alexandria.

Output
For the magnetization, the calculation gives 1.60 μB/cell. Its volume is 21.11 A^3/atom. Its density of states at the Fermi level is 4.80 states/eV/f.u. The theoretical density is 2.9 g/cm3.

a b c (Å): 5.045 5.045 4.147
angles (deg): 90.00 90.00 90.00
Each line ends with the local moment (μB).
Fractional positions:
S 0.000 0.500 0.000  0.15
S 0.500 0.000 0.000  0.15
C 0.500 0.500 0.500  0.03
Zr 0.000 0.000 0.000  -0.06
N 0.000 0.000 0.500  0.81

Most stable: P). Least stable: Q).

P) The following is a PBE calculation of a relaxed SbCN2 crystal, from Alexandria.

Output
For the magnetization, the calculation gives 0.00 μB/cell. Its volume is 10.17 A^3/atom. Its density of states at the Fermi level is 1.83 states/eV/f.u. The theoretical density is 6.6 g/cm3.

a b c (Å): 3.860 3.860 3.860
angles (deg): 60.00 60.00 60.00
Fractional positions:
Sb 0.500 0.500 0.500
C 0.000 0.000 0.000
N 0.250 0.250 0.250
N 0.750 0.750 0.750

Q) The following is a PBE calculation of a relaxed SbCN2 crystal, from Alexandria.

Output
For the magnetization, the calculation gives 0.00 μB/cell. Its volume is 10.13 A^3/atom. Its density of states at the Fermi level is 0.63 states/eV/f.u. The theoretical density is 6.6 g/cm3.

a b c (Å): 4.799 4.799 4.888
angles (deg): 60.60 60.60 90.00
Fractional positions:
Sb 0.000 0.000 0.000
Sb 0.750 0.250 0.500
C 0.500 0.500 0.000
C 0.250 0.750 0.500
N 0.283 0.125 0.250
N 0.467 0.625 0.250
N 0.375 0.717 0.750
N 0.875 0.533 0.750

Most stable: Q). Least stable: P).

P) The following is a PBE calculation of a relaxed SbCSeN2 crystal, from Alexandria.

Output
For the magnetization, the calculation gives 0.72 μB/cell. Its volume is 17.70 A^3/atom. Its density of states at the Fermi level is 4.20 states/eV/f.u. The theoretical density is 4.5 g/cm3.

a b c (Å): 3.903 3.903 5.810
angles (deg): 90.00 90.00 90.00
Each line ends with the local moment (μB).
Fractional positions:
Sb 0.000 0.000 0.000  -0.02
C 0.500 0.500 0.500  0.01
Se 0.000 0.000 0.500  0.01
N 0.000 0.500 0.000  0.25
N 0.500 0.000 0.000  0.25

Q) The following is a PBE calculation of a relaxed SbCSeN2 crystal, from Alexandria.

Output
For the magnetization, the calculation gives 0.00 μB/cell. Its volume is 12.22 A^3/atom. Its density of states at the Fermi level is 1.77 states/eV/f.u. The theoretical density is 6.5 g/cm3.

a b c (Å): 3.891 3.891 4.036
angles (deg): 90.00 90.00 90.00
Fractional positions:
Sb 0.500 0.500 0.500
C 0.000 0.000 0.000
Se 0.000 0.000 0.500
N 0.000 0.500 0.000
N 0.500 0.000 0.000

Most stable: Q). Least stable: P).

P) The following is a PBE calculation of a relaxed Sc2CN crystal, from Alexandria.

Output
For the magnetization, the calculation gives 1.00 μB/cell. Its volume is 16.76 A^3/atom. Its density of states at the Fermi level is 0.73 states/eV/f.u. The theoretical density is 2.9 g/cm3.

a b c (Å): 6.717 6.717 6.717
angles (deg): 29.98 29.98 29.98
Each line ends with the local moment (μB).
Fractional positions:
Sc 0.896 0.896 0.896  0.00
Sc 0.104 0.104 0.104  0.00
C 0.500 0.500 0.500  0.04
N 0.000 0.000 0.000  0.62

Q) The following is a PBE calculation of a relaxed Sc2CN crystal, from Alexandria.

Output
For the magnetization, the calculation gives 1.04 μB/cell. Its volume is 13.55 A^3/atom. Its density of states at the Fermi level is 2.89 states/eV/f.u. The theoretical density is 3.6 g/cm3.

a b c (Å): 5.703 5.703 5.232
angles (deg): 56.97 56.97 90.00
Each line ends with the local moment (μB).
Fractional positions:
Sc 0.639 0.125 0.250  0.03
Sc 0.111 0.625 0.250  0.04
Sc 0.375 0.361 0.750  0.04
Sc 0.875 0.889 0.750  0.04
C 0.500 0.500 0.000  0.20
C 0.250 0.750 0.500  0.20
N 0.000 0.000 0.000  0.05
N 0.750 0.250 0.500  0.05

Most stable: Q). Least stable: P).